Computed, not measured: an optimized crystal structure of CsSnMoF6 at the PBE with a Hubbard U level of DFT.

Values from the calculation:
The final energy comes out at -5.12 eV/atom. The total magnetic moment is 5.978 μB/cell. The density of states at the Fermi level is 0.0 states/eV/f.u.

Cell lengths 8.164, 8.271, 8.133 Å; angles 120.56, 120.13, 90.00 degrees
Atoms (fractional coordinates):
Cs1 0.868 0.618 0.736
Cs2 0.132 0.382 0.264
Sn1 0.500 0.000 0.500
Sn2 0.000 0.000 0.500
Mo1 0.500 0.500 0.000
Mo2 0.500 0.000 0.000
F1 0.467 0.717 0.935
F2 0.855 0.105 0.710
F3 0.811 0.112 0.258
F4 0.446 0.646 0.258
F5 0.446 0.112 0.258
F6 0.811 0.646 0.258
F7 0.533 0.283 0.065
F8 0.145 0.895 0.290
F9 0.189 0.888 0.742
F10 0.554 0.354 0.742
F11 0.554 0.888 0.742
F12 0.189 0.354 0.742